1.
The following is a DFT calculation (GGA-PBE) of crystalline La2PrAgOs at its relaxed geometry.

Values from the calculation:
D(E_F) (states/eV/f.u.): 4.527
Space group: P4mm, No. 99
Energy relative to the elements (eV per formula unit): 0.08

Lattice parameters (Å, degrees): 5.5089 5.5088 5.7413 90.00 90.00 90.00
With the nearest neighbours (Å) after each atom.
Fractional coordinates of all 5 atoms:
Pr 0.0000 0.0000 0.4891  2 Os 2.78-2.96
La 0.0000 0.5000 0.9593  2 Os 2.77
La 0.5000 0.0000 0.9593  2 Os 2.77
Os 0.0000 0.0000 0.0042  4 La 2.77, 2 Pr 2.78-2.96
Ag 0.5000 0.5000 0.5881  4 La 3.48

2.
The following is a DFT calculation (GGA-PBE) of crystalline LaPrAgOs at its relaxed geometry.

Values from the calculation:
D(E_F) (states/eV/f.u.): 2.132
Space group: F-43m, No. 216
Energy relative to the elements (eV per formula unit): -0.34

Lattice parameters (Å, degrees): 5.1681 5.1681 5.1681 60.00 60.00 60.00
With the nearest neighbours (Å) after each atom.
Fractional coordinates of all 4 atoms:
Ag 0.0000 0.0000 0.0000  4 Pr 3.16, 4 La 3.16
La 0.2500 0.2500 0.2500  4 Os 3.16, 4 Ag 3.16
Pr 0.7500 0.7500 0.7500  4 Ag 3.16, 4 Os 3.16
Os 0.5000 0.5000 0.5000  4 La 3.16, 4 Pr 3.16

3.
The following is a DFT calculation (GGA-PBE) of crystalline Rb2LaAgOs at its relaxed geometry.

Values from the calculation:
D(E_F) (states/eV/f.u.): 8.216
Space group: P4/mmm, No. 123
Energy relative to the elements (eV per formula unit): 7.58

Lattice parameters (Å, degrees): 5.8496 6.2246 5.8496 90.00 90.00 90.00
With the nearest neighbours (Å) after each atom.
Fractional coordinates of all 5 atoms:
Ag 0.0000 0.0000 0.0000  4 Rb 2.92, 2 La 3.11
Rb 0.0000 0.0000 0.5000  2 Ag 2.92
Rb 0.5000 0.0000 0.0000  2 Ag 2.92
La 0.0000 0.5000 0.0000  2 Ag 3.11
Os 0.5000 0.5000 0.5000  4 La 4.14, 8 Rb 4.27

4.
The following is a DFT calculation (GGA-PBE) of crystalline RbLa2AgOs at its relaxed geometry.

Values from the calculation:
D(E_F) (states/eV/f.u.): 3.992
Space group: P4/mmm, No. 123
Energy relative to the elements (eV per formula unit): 1.78

Lattice parameters (Å, degrees): 5.4130 6.6433 5.4130 90.00 90.00 90.00
With the nearest neighbours (Å) after each atom.
Fractional coordinates of all 5 atoms:
Rb 0.0000 0.5000 0.0000  2 Os 3.32
La 0.0000 0.0000 0.5000  2 Os 2.71
La 0.5000 0.0000 0.0000  2 Os 2.71
Ag 0.5000 0.5000 0.5000  4 Rb 3.83, 8 La 4.28
Os 0.0000 0.0000 0.0000  4 La 2.71

5.
The following is a DFT calculation (GGA-PBE) of crystalline LaReAgOs2 at its relaxed geometry.

Values from the calculation:
D(E_F) (states/eV/f.u.): 9.783
Space group: P4/mmm, No. 123
Energy relative to the elements (eV per formula unit): 15.17

Lattice parameters (Å, degrees): 4.7631 5.0805 4.7631 90.00 90.00 90.00
With the nearest neighbours (Å) after each atom.
Fractional coordinates of all 5 atoms:
Re 0.5000 0.5000 0.5000  4 Ag 3.37, 8 Os 3.48
La 0.0000 0.0000 0.0000  4 Os 2.38, 2 Ag 2.54
Os 0.0000 0.0000 0.5000  2 La 2.38
Os 0.5000 0.0000 0.0000  2 La 2.38
Ag 0.0000 0.5000 0.0000  2 La 2.54

6.
The following is a DFT calculation (GGA-PBE) of crystalline LaSc2AgOs at its relaxed geometry.

Values from the calculation:
D(E_F) (states/eV/f.u.): 7.528
Space group: P4/mmm, No. 123
Energy relative to the elements (eV per formula unit): 9.68

Lattice parameters (Å, degrees): 5.0580 5.0291 5.0580 90.00 90.00 90.00
With the nearest neighbours (Å) after each atom.
Fractional coordinates of all 5 atoms:
Os 0.5000 0.5000 0.5000  8 Sc 3.57, 4 Ag 3.58
Sc 0.5000 0.0000 0.0000  2 La 2.53
Sc 0.0000 0.0000 0.5000  2 La 2.53
La 0.0000 0.0000 0.0000  2 Ag 2.51, 4 Sc 2.53
Ag 0.0000 0.5000 0.0000  2 La 2.51

7.
The following is a DFT calculation (GGA-PBE) of crystalline LaScAgOs at its relaxed geometry.

Values from the calculation:
D(E_F) (states/eV/f.u.): 3.149
Space group: F-43m, No. 216
Energy relative to the elements (eV per formula unit): -0.52

Lattice parameters (Å, degrees): 4.9498 4.9498 4.9498 60.00 60.00 60.00
With the nearest neighbours (Å) after each atom.
Fractional coordinates of all 4 atoms:
La 0.0000 0.0000 0.0000  4 Os 3.03, 4 Ag 3.03
Os 0.7500 0.7500 0.7500  4 La 3.03, 4 Sc 3.03
Sc 0.5000 0.5000 0.5000  4 Ag 3.03, 4 Os 3.03
Ag 0.2500 0.2500 0.2500  4 La 3.03, 4 Sc 3.03

8.
The following is a DFT calculation (GGA-PBE) of crystalline LaSmAgOs at its relaxed geometry.

Values from the calculation:
D(E_F) (states/eV/f.u.): 2.157
Space group: F-43m, No. 216
Energy relative to the elements (eV per formula unit): -0.50

Lattice parameters (Å, degrees): 5.1199 5.1199 5.1199 60.00 60.00 60.00
With the nearest neighbours (Å) after each atom.
Fractional coordinates of all 4 atoms:
La 0.5000 0.5000 0.5000  4 Ag 3.14, 4 Os 3.14
Ag 0.2500 0.2500 0.2500  4 La 3.14, 4 Sm 3.14
Sm 0.0000 0.0000 0.0000  4 Os 3.14, 4 Ag 3.14
Os 0.7500 0.7500 0.7500  4 Sm 3.14, 4 La 3.14

9.
The following is a DFT calculation (GGA-PBE) of crystalline LaThAgOs at its relaxed geometry.

Values from the calculation:
D(E_F) (states/eV/f.u.): 5.128
Space group: F-43m, No. 216
Energy relative to the elements (eV per formula unit): -0.36

Lattice parameters (Å, degrees): 5.1711 5.1711 5.1711 60.00 60.00 60.00
With the nearest neighbours (Å) after each atom.
Fractional coordinates of all 4 atoms:
Os 0.7500 0.7500 0.7500  4 La 3.17, 4 Th 3.17
La 0.5000 0.5000 0.5000  4 Os 3.17, 4 Ag 3.17
Ag 0.2500 0.2500 0.2500  4 La 3.17, 4 Th 3.17
Th 0.0000 0.0000 0.0000  4 Ag 3.17, 4 Os 3.17

10.
The following is a DFT calculation (GGA-PBE) of crystalline LaV2AgOs at its relaxed geometry.

Values from the calculation:
D(E_F) (states/eV/f.u.): 6.498
Space group: P4/mmm, No. 123
Energy relative to the elements (eV per formula unit): 3.53

Lattice parameters (Å, degrees): 4.7657 5.5421 4.7657 90.00 90.00 90.00
With the nearest neighbours (Å) after each atom.
Fractional coordinates of all 5 atoms:
Os 0.0000 0.0000 0.0000  4 V 2.38
La 0.0000 0.5000 0.0000  2 Os 2.77
V 0.5000 0.0000 0.0000  2 Os 2.38
V 0.0000 0.0000 0.5000  2 Os 2.38
Ag 0.5000 0.5000 0.5000  4 La 3.37, 8 V 3.65

11.
The following is a DFT calculation (GGA-PBE) of crystalline La2ZnAgOs at its relaxed geometry.

Values from the calculation:
D(E_F) (states/eV/f.u.): 5.273
Space group: P4/mmm, No. 123
Energy relative to the elements (eV per formula unit): -0.22

Lattice parameters (Å, degrees): 5.4668 5.4668 4.9225 90.00 90.00 90.00
With the nearest neighbours (Å) after each atom.
Fractional coordinates of all 5 atoms:
La 0.0000 0.5000 0.0000  2 Os 2.73
La 0.5000 0.0000 0.0000  2 Os 2.73
Os 0.0000 0.0000 0.0000  2 Zn 2.46, 4 La 2.73
Zn 0.0000 0.0000 0.5000  2 Os 2.46
Ag 0.5000 0.5000 0.5000  8 La 3.68, 4 Zn 3.87

12.
The following is a DFT calculation (GGA-PBE) of crystalline La2AgP2 at its relaxed geometry.

Values from the calculation:
D(E_F) (states/eV/f.u.): 2.720
Space group: P4/mbm, No. 127
Energy relative to the elements (eV per formula unit): -5.15

Lattice parameters (Å, degrees): 7.8243 7.8243 3.9299 90.00 90.00 90.00
With the nearest neighbours (Å) after each atom.
Fractional coordinates of all 10 atoms:
Ag 0.5000 0.5000 0.0000  4 P 2.94
Ag 0.0000 0.0000 0.0000  4 P 2.94
La 0.1522 0.6522 0.5000  6 P 2.87-3.13
La 0.3478 0.1522 0.5000  6 P 2.87-3.13
La 0.8478 0.3478 0.5000  6 P 2.87-3.13
La 0.6522 0.8478 0.5000  6 P 2.87-3.13
P 0.3407 0.8407 0.0000  6 La 2.87-3.13, 2 Ag 2.94
P 0.1593 0.3407 0.0000  6 La 2.87-3.13, 2 Ag 2.94
P 0.8407 0.6593 0.0000  6 La 2.87-3.13, 2 Ag 2.94
P 0.6593 0.1593 0.0000  6 La 2.87-3.13, 2 Ag 2.94

13.
The following is a DFT calculation (GGA-PBE) of crystalline LaAgP2 at its relaxed geometry.

Values from the calculation:
D(E_F) (states/eV/f.u.): 1.572
Space group: I-42d, No. 122
Energy relative to the elements (eV per formula unit): -1.53

Lattice parameters (Å, degrees): 4.6753 4.6753 9.2010 75.28 75.28 90.00
With the nearest neighbours (Å) after each atom.
Fractional coordinates of all 8 atoms:
Ag 0.5000 0.5000 0.0000  4 P 2.48
Ag 0.2500 0.7500 0.5000  4 P 2.48
P 0.2836 0.6250 0.2500  2 Ag 2.48, 2 P 2.49
P 0.3750 0.5336 0.7500  2 Ag 2.48, 2 P 2.49
P 0.4664 0.1250 0.2500  2 Ag 2.48, 2 P 2.49
P 0.8750 0.7164 0.7500  2 Ag 2.48, 2 P 2.49
La 0.7500 0.2500 0.5000  4 P 3.10, 4 Ag 3.31
La 0.0000 0.0000 0.0000  4 P 3.10, 4 Ag 3.31

14.
The following is a DFT calculation (GGA-PBE) of crystalline La2Ag3P at its relaxed geometry.

Values from the calculation:
D(E_F) (states/eV/f.u.): 5.662
Space group: P6/mmm, No. 191
Energy relative to the elements (eV per formula unit): -0.36

Lattice parameters (Å, degrees): 5.4963 5.4963 5.8132 90.00 90.00 120.00
With the nearest neighbours (Å) after each atom.
Fractional coordinates of all 6 atoms:
P 0.0000 0.0000 0.0000  6 La 3.17
La 0.6667 0.3333 0.0000  3 P 3.17, 3 La 3.17, 6 Ag 3.31
La 0.3333 0.6667 0.0000  3 P 3.17, 3 La 3.17, 6 Ag 3.31
Ag 0.5000 0.0000 0.5000  4 Ag 2.75
Ag 0.5000 0.5000 0.5000  4 Ag 2.75
Ag 0.0000 0.5000 0.5000  4 Ag 2.75

15.
The following is a DFT calculation (GGA-PBE) of crystalline LaAg2P at its relaxed geometry.

Values from the calculation:
D(E_F) (states/eV/f.u.): 2.009
Space group: R-3m, No. 166
Energy relative to the elements (eV per formula unit): -0.85

Lattice parameters (Å, degrees): 5.7464 5.7464 5.7464 45.80 45.80 45.80
With the nearest neighbours (Å) after each atom.
Fractional coordinates of all 4 atoms:
P 0.7500 0.7500 0.7500  6 Ag 2.69
Ag 0.4663 0.4663 0.4663  3 P 2.69, 3 Ag 3.00
Ag 0.0337 0.0337 0.0337  3 P 2.69, 3 Ag 3.00
La 0.2500 0.2500 0.2500  8 Ag 3.15-3.33

16.
The following is a DFT calculation (GGA-PBE) of crystalline La2AgP at its relaxed geometry.

Values from the calculation:
D(E_F) (states/eV/f.u.): 2.545
Space group: I-42d, No. 122
Energy relative to the elements (eV per formula unit): -2.27

Lattice parameters (Å, degrees): 7.8685 7.8685 6.8412 54.89 54.89 90.00
With the nearest neighbours (Å) after each atom.
Fractional coordinates of all 8 atoms:
La 0.8750 0.8537 0.7500  2 P 2.85, 2 Ag 3.07
La 0.6037 0.1250 0.2500  2 P 2.85, 2 Ag 3.07
La 0.1463 0.6250 0.2500  2 P 2.85, 2 Ag 3.07
La 0.3750 0.3963 0.7500  2 P 2.85, 2 Ag 3.07
Ag 0.7500 0.2500 0.5000  4 La 3.07
Ag 0.0000 0.0000 0.0000  4 La 3.07
P 0.5000 0.5000 0.0000  4 La 2.85
P 0.2500 0.7500 0.5000  4 La 2.85

17.
The following is a DFT calculation (GGA-PBE) of crystalline LaAgP2 at its relaxed geometry.

Values from the calculation:
D(E_F) (states/eV/f.u.): 2.993
Space group: P4/mmm, No. 123
Energy relative to the elements (eV per formula unit): -1.02

Lattice parameters (Å, degrees): 3.6955 3.6955 6.0634 90.00 90.00 90.00
With the nearest neighbours (Å) after each atom.
Fractional coordinates of all 4 atoms:
Ag 0.5000 0.5000 0.2500  8 P 2.86, 2 La 3.03
P 0.0000 0.0000 0.0572  1 P 2.34
P 0.0000 0.0000 0.4428  1 P 2.34
La 0.5000 0.5000 0.7500  2 Ag 3.03, 8 P 3.21

18.
The following is a DFT calculation (GGA-PBE) of crystalline La2AgP at its relaxed geometry.

Values from the calculation:
D(E_F) (states/eV/f.u.): 4.484
Space group: F-43m, No. 216
Energy relative to the elements (eV per formula unit): -0.23

Lattice parameters (Å, degrees): 5.1458 5.1458 5.1458 60.00 60.00 60.00
With the nearest neighbours (Å) after each atom.
Fractional coordinates of all 4 atoms:
La 0.2500 0.2500 0.2500  4 Ag 3.15, 4 La 3.15
La 0.0000 0.0000 0.0000  4 P 3.15, 4 La 3.15
P 0.7500 0.7500 0.7500  4 Ag 3.15, 4 La 3.15
Ag 0.5000 0.5000 0.5000  4 La 3.15, 4 P 3.15

19.
The following is a DFT calculation (GGA-PBE) of crystalline LaAgP2 at its relaxed geometry.

Values from the calculation:
D(E_F) (states/eV/f.u.): 0.453
Space group: Cm, No. 8
Energy relative to the elements (eV per formula unit): -2.91

Lattice parameters (Å, degrees): 5.8508 5.8508 4.1183 70.37 70.37 42.85
With the nearest neighbours (Å) after each atom.
Fractional coordinates of all 4 atoms:
La 0.2969 0.2969 0.0955  6 P 3.00-3.12, 3 Ag 3.28
Ag 0.5530 0.5530 0.3672  4 P 2.52-2.73
P 0.7180 0.7180 0.6859  1 P 2.24
P 0.9322 0.9322 0.3514  1 P 2.24

20.
The following is a DFT calculation (GGA-PBE) of crystalline La2AgP at its relaxed geometry.

Values from the calculation:
D(E_F) (states/eV/f.u.): 5.122
Space group: R-3m, No. 166
Energy relative to the elements (eV per formula unit): -3.34

Lattice parameters (Å, degrees): 4.2495 4.2495 7.9533 74.54 74.54 59.99
With the nearest neighbours (Å) after each atom.
Fractional coordinates of all 4 atoms:
La 0.9880 0.9880 0.0354  3 P 2.94, 3 Ag 3.27
La 0.5120 0.5120 0.4646  3 P 2.94, 3 Ag 3.27
P 0.2500 0.2500 0.2500  6 La 2.94
Ag 0.7500 0.7500 0.7500  6 La 3.27